No. 1
A plane-wave DFT calculation with SCAN was carried out for a PBEsol-optimized structure of CaMn2Zn.

```
CaMn2Zn
1.0
-2.075 2.075 3.883
2.075 -2.075 3.883
2.075 2.075 -3.883
Ca Mn Zn
1 2 1
direct
0.000 0.000 0.000 Ca
0.250 0.750 0.500 Mn
0.750 0.250 0.500 Mn
0.500 0.500 0.000 Zn
```

Calculated values
Volume, Å³/atom: 16.71
Total magnetic moment, μB/atom: 1.95
Final energy, eV/atom: -14.68
Energy of formation from the pure elements, eV per atom: 0.24
Density of states at the Fermi level, states/eV per cell: 3.5



No. 2
A plane-wave DFT calculation with SCAN was carried out for a PBEsol-optimized structure of CaZrMn3.

```
CaZrMn3
1.0
4.538 0.000 0.000
0.000 4.538 0.000
0.000 0.000 4.538
Ca Zr Mn
1 1 3
direct
0.000 0.000 0.000 Ca
0.500 0.500 0.500 Zr
0.000 0.000 0.500 Mn
0.000 0.500 0.000 Mn
0.500 0.000 0.000 Mn
```

Calculated values
Volume, Å³/atom: 18.69
Total magnetic moment, μB/atom: 2.04
Final energy, eV/atom: -17.70
Energy of formation from the pure elements, eV per atom: 1.32
Density of states at the Fermi level, states/eV per cell: 5.6



No. 3
A plane-wave DFT calculation with SCAN was carried out for a PBEsol-optimized structure of CaZrMn2.

```
CaZrMn2
1.0
4.888 0.000 0.000
0.000 4.888 0.000
0.000 0.000 3.130
Ca Zr Mn
1 1 2
direct
0.000 0.000 0.000 Ca
0.500 0.500 0.000 Zr
0.000 0.500 0.500 Mn
0.500 0.000 0.500 Mn
```

Calculated values
Volume, Å³/atom: 18.70
Total magnetic moment, μB/atom: 1.70
Final energy, eV/atom: -19.06
Energy of formation from the pure elements, eV per atom: 0.16
Density of states at the Fermi level, states/eV per cell: 3.7



No. 4
A plane-wave DFT calculation with SCAN was carried out for a PBEsol-optimized structure of CaZrMn2.

```
CaZrMn2
1.0
3.472 0.000 0.000
0.000 3.472 0.000
0.000 0.000 6.490
Ca Zr Mn
1 1 2
direct
0.000 0.000 0.000 Ca
0.000 0.000 0.500 Zr
0.500 0.500 0.343 Mn
0.500 0.500 0.657 Mn
```

Calculated values
Volume, Å³/atom: 19.55
Total magnetic moment, μB/atom: 0.00
Final energy, eV/atom: -18.73
Energy of formation from the pure elements, eV per atom: 0.49
Density of states at the Fermi level, states/eV per cell: 2.3